1.
The following is a PBE-GGA calculation of a relaxed BPBr crystal, from Alexandria via LeMat-Bulk.

abc: 3.279 6.479 7.130
angles: 78.08 82.48 86.84
Space group P-1 (No. 2)
One atom of each set of equivalent atoms:
B  0.144  0.155  0.075 x2
P  0.306  0.845  0.087 x2
Br  0.099  0.306  0.287 x2

**Final energy**: -4.61 eV per atom

=====

2.
The following is a PBE-GGA calculation of a relaxed B2PBr crystal, from Alexandria via LeMat-Bulk.

abc: 5.231 5.231 8.736
angles: 90.00 90.00 90.00
Space group I-42d (No. 122)
One atom of each set of equivalent atoms:
B  0.161  0.250  0.125 x8
P  0.000  0.000  0.000 x4
Br  0.000  0.000  0.500 x4

**Final energy**: -4.34 eV per atom
**Distance to the lowest polymorph of the same formula**: 0.00 eV per formula unit

=====

no.,E_form (uncorrected) (eV per atom)
1,-0.0276
2,0.7685